Below is ZnFeSb after structural relaxation, with properties calculated at the GGA-PBE level.

Properties
Crystal system ... cubic
Energy relative to the elements, uncorrected ... 0.45 eV/atom
Polymorph energy (0 for the lowest one) ... 0.348 eV per atom
SG ... No. 216
Raw total energy ... -4.1720 eV/atom

Cell: 4.3844 4.3844 4.3844 Å, 60.00 60.00 60.00°
Closest atoms and distances in Å follow each position.
Element x y z (fractional)
Fe (0.7500, 0.7500, 0.7500)  4 Sb 2.68
Sb (0.0000, 0.0000, 0.0000)  4 Fe 2.68, 4 Zn 2.68
Zn (0.2500, 0.2500, 0.2500)  4 Sb 2.68